LaAlSi2, optimized geometry, DFT PBEsol; calculated density = 4748 kg/m3; formation energy without anion corrections = -349 meV per atom; N(E_F) = 1.95 states/eV/f.u.
1.0
-0.1204 3.4198 -0.6170
0.5763 -0.5892 -3.3780
-6.3308 -0.4050 -1.0095
Si Al La
2 1 1
Cartesian
-5.1598 -0.3301 -0.8228
-1.1710 -0.0749 -0.1867
0.2280 1.4153 -1.9975
-2.9374 1.2128 -2.5023